# KMnCu3Se4 | the Alexandria database | PBE | optimized geometry
data_KMnCu3Se4
_chemical_formula_sum 'K1 Mn1 Cu3 Se4'
_cell_length_a 6.060
_cell_length_b 6.060
_cell_length_c 6.060
_cell_angle_alpha 90.00
_cell_angle_beta 90.00
_cell_angle_gamma 90.00
_space_group_name_H-M_alt 'P 1'
_space_group_IT_number 1
_space_group_name_Hall 'P 1'
loop_
_atom_site_label
_atom_site_type_symbol
_atom_site_fract_x
_atom_site_fract_y
_atom_site_fract_z
K1 K 0.000 0.000 0.000
Mn1 Mn 0.500 0.500 0.500
Cu1 Cu 0.000 0.500 0.500
Cu2 Cu 0.500 0.000 0.500
Cu3 Cu 0.500 0.500 0.000
Se1 Se 0.279 0.279 0.721
Se2 Se 0.279 0.721 0.279
Se3 Se 0.721 0.279 0.279
Se4 Se 0.721 0.721 0.721
# E_tot, eV per cell: -39.7
# Mass density, Mg/m³: 4.5
# Formation energy (no corrections), kJ/mol of atoms: -34.5


# K2SrMnCu | the Alexandria database | PBE | optimized geometry
data_K2SrMnCu
_chemical_formula_sum 'K2 Sr1 Mn1 Cu1'
_cell_length_a 6.025
_cell_length_b 6.025
_cell_length_c 6.082
_cell_angle_alpha 90.00
_cell_angle_beta 90.00
_cell_angle_gamma 90.00
_space_group_name_H-M_alt 'P 1'
_space_group_IT_number 1
_space_group_name_Hall 'P 1'
loop_
_atom_site_label
_atom_site_type_symbol
_atom_site_fract_x
_atom_site_fract_y
_atom_site_fract_z
K1 K 0.000 0.500 0.000
K2 K 0.500 0.000 0.000
Sr1 Sr 0.000 0.000 0.500
Mn1 Mn 0.500 0.500 0.500
Cu1 Cu 0.000 0.000 0.000
# Energy relative to the elements, eV per atom: 0.7106
# E_tot, eV per cell: -13.6
# Mass density, Mg/m³: 2.1


# K2MnCu2Te4 | the Alexandria database | PBE | optimized geometry
data_K2MnCu2Te4
_chemical_formula_sum 'K2 Mn1 Cu2 Te4'
_cell_length_a 8.177
_cell_length_b 8.177
_cell_length_c 8.191
_cell_angle_alpha 109.72
_cell_angle_beta 109.72
_cell_angle_gamma 29.32
_space_group_name_H-M_alt 'P 1'
_space_group_IT_number 1
_space_group_name_Hall 'P 1'
loop_
_atom_site_label
_atom_site_type_symbol
_atom_site_fract_x
_atom_site_fract_y
_atom_site_fract_z
K1 K 0.134 0.134 0.067
K2 K 0.866 0.866 0.933
Mn1 Mn 0.000 0.000 0.500
Cu1 Cu 0.305 0.305 0.516
Cu2 Cu 0.695 0.695 0.484
Te1 Te 0.189 0.189 0.679
Te2 Te 0.480 0.480 0.713
Te3 Te 0.520 0.520 0.287
Te4 Te 0.811 0.811 0.321
# E_tot, eV per cell: -36.2
# Mass density, Mg/m³: 5.1
# Formation energy (no corrections), kJ/mol of atoms: -43.8


# KMnCuTe2 | the Alexandria database | PBE | optimized geometry
data_KMnCuTe2
_chemical_formula_sum 'K2 Mn2 Cu2 Te4'
_cell_length_a 8.229
_cell_length_b 6.329
_cell_length_c 6.435
_cell_angle_alpha 90.00
_cell_angle_beta 112.93
_cell_angle_gamma 90.00
_space_group_name_H-M_alt 'P 1'
_space_group_IT_number 1
_space_group_name_Hall 'P 1'
loop_
_atom_site_label
_atom_site_type_symbol
_atom_site_fract_x
_atom_site_fract_y
_atom_site_fract_z
K1 K 0.000 0.236 0.250
K2 K 0.000 0.764 0.750
Mn1 Mn 0.500 0.500 0.250
Mn2 Mn 0.500 0.500 0.750
Cu1 Cu 0.500 0.000 0.000
Cu2 Cu 0.500 0.000 0.500
Te1 Te 0.269 0.273 0.885
Te2 Te 0.269 0.727 0.385
Te3 Te 0.731 0.273 0.615
Te4 Te 0.731 0.727 0.115
# E_tot, eV per cell: -45.0
# Mass density, Mg/m³: 4.4
# Formation energy (no corrections), kJ/mol of atoms: -35.4


# KMnCu2Te | the Alexandria database | PBE | optimized geometry
data_KMnCu2Te
_chemical_formula_sum 'K1 Mn1 Cu2 Te1'
_cell_length_a 4.945
_cell_length_b 4.945
_cell_length_c 5.585
_cell_angle_alpha 90.00
_cell_angle_beta 90.00
_cell_angle_gamma 90.00
_space_group_name_H-M_alt 'P 1'
_space_group_IT_number 1
_space_group_name_Hall 'P 1'
loop_
_atom_site_label
_atom_site_type_symbol
_atom_site_fract_x
_atom_site_fract_y
_atom_site_fract_z
K1 K 0.000 0.000 0.000
Mn1 Mn 0.000 0.000 0.500
Cu1 Cu 0.000 0.500 0.000
Cu2 Cu 0.500 0.000 0.000
Te1 Te 0.500 0.500 0.500
# E_tot, eV per cell: -13.6
# Mass density, Mg/m³: 4.2
# Formation energy (no corrections), kJ/mol of atoms: 153.5


# KCuMo | the Alexandria database | PBE | optimized geometry
data_KCuMo
_chemical_formula_sum 'K2 Cu2 Mo2'
_cell_length_a 6.863
_cell_length_b 6.863
_cell_length_c 4.862
_cell_angle_alpha 90.00
_cell_angle_beta 90.00
_cell_angle_gamma 139.53
_space_group_name_H-M_alt 'P 1'
_space_group_IT_number 1
_space_group_name_Hall 'P 1'
loop_
_atom_site_label
_atom_site_type_symbol
_atom_site_fract_x
_atom_site_fract_y
_atom_site_fract_z
K1 K 0.224 0.776 0.750
K2 K 0.776 0.224 0.250
Cu1 Cu 0.000 0.000 0.000
Cu2 Cu 0.000 0.000 0.500
Mo1 Mo 0.500 0.500 0.250
Mo2 Mo 0.500 0.500 0.750
# Energy relative to the elements, eV per atom: 0.7735
# E_tot, eV per cell: -27.4
# Energy above the lowest structure with this stoichiometry, eV/atom: 0.0000
# Mass density, Mg/m³: 4.4


# KCuMo | the Alexandria database | PBE | optimized geometry
data_KCuMo
_chemical_formula_sum 'K1 Cu1 Mo1'
_cell_length_a 7.640
_cell_length_b 7.640
_cell_length_c 7.640
_cell_angle_alpha 158.33
_cell_angle_beta 158.33
_cell_angle_gamma 30.83
_space_group_name_H-M_alt 'P 1'
_space_group_IT_number 1
_space_group_name_Hall 'P 1'
loop_
_atom_site_label
_atom_site_type_symbol
_atom_site_fract_x
_atom_site_fract_y
_atom_site_fract_z
K1 K 0.000 0.000 0.000
Cu1 Cu 0.317 0.317 0.000
Mo1 Mo 0.707 0.707 0.000
# Energy relative to the elements, eV per atom: 0.9341
# E_tot, eV per cell: -13.2
# Energy above the lowest structure with this stoichiometry, eV/atom: 0.1606
# Mass density, Mg/m³: 5.4


# KCuMo | the Alexandria database | PBE | optimized geometry
data_KCuMo
_chemical_formula_sum 'K1 Cu1 Mo1'
_cell_length_a 5.192
_cell_length_b 5.192
_cell_length_c 5.192
_cell_angle_alpha 60.00
_cell_angle_beta 60.00
_cell_angle_gamma 60.00
_space_group_name_H-M_alt 'P 1'
_space_group_IT_number 1
_space_group_name_Hall 'P 1'
loop_
_atom_site_label
_atom_site_type_symbol
_atom_site_fract_x
_atom_site_fract_y
_atom_site_fract_z
K1 K 0.000 0.000 0.000
Cu1 Cu 0.750 0.750 0.750
Mo1 Mo 0.250 0.250 0.250
# Energy relative to the elements, eV per atom: 2.2183
# E_tot, eV per cell: -9.4
# Energy above the lowest structure with this stoichiometry, eV/atom: 1.4448
# Mass density, Mg/m³: 3.3


# KCuMo | the Alexandria database | PBE | optimized geometry
data_KCuMo
_chemical_formula_sum 'K1 Cu1 Mo1'
_cell_length_a 4.858
_cell_length_b 4.858
_cell_length_c 4.858
_cell_angle_alpha 60.00
_cell_angle_beta 60.00
_cell_angle_gamma 60.00
_space_group_name_H-M_alt 'P 1'
_space_group_IT_number 1
_space_group_name_Hall 'P 1'
loop_
_atom_site_label
_atom_site_type_symbol
_atom_site_fract_x
_atom_site_fract_y
_atom_site_fract_z
K1 K 0.000 0.000 0.000
Cu1 Cu 0.250 0.250 0.250
Mo1 Mo 0.500 0.500 0.500
# Energy relative to the elements, eV per atom: 1.6909
# E_tot, eV per cell: -11.0
# Energy above the lowest structure with this stoichiometry, eV/atom: 0.9174
# Mass density, Mg/m³: 4.1


# KCu3Mo | the Alexandria database | PBE | optimized geometry
data_KCu3Mo
_chemical_formula_sum 'K1 Cu3 Mo1'
_cell_length_a 4.872
_cell_length_b 4.872
_cell_length_c 4.872
_cell_angle_alpha 90.00
_cell_angle_beta 90.00
_cell_angle_gamma 90.00
_space_group_name_H-M_alt 'P 1'
_space_group_IT_number 1
_space_group_name_Hall 'P 1'
loop_
_atom_site_label
_atom_site_type_symbol
_atom_site_fract_x
_atom_site_fract_y
_atom_site_fract_z
K1 K 0.000 0.000 0.000
Cu1 Cu 0.000 0.500 0.500
Cu2 Cu 0.500 0.000 0.500
Cu3 Cu 0.500 0.500 0.000
Mo1 Mo 0.500 0.500 0.500
# Energy relative to the elements, eV per atom: 1.0918
# E_tot, eV per cell: -18.8
# Energy above the lowest structure with this stoichiometry, eV/atom: 0.0000
# Mass density, Mg/m³: 4.7


# KCuMo | the Alexandria database | PBE | optimized geometry
data_KCuMo
_chemical_formula_sum 'K1 Cu1 Mo1'
_cell_length_a 2.853
_cell_length_b 2.853
_cell_length_c 8.226
_cell_angle_alpha 90.00
_cell_angle_beta 90.00
_cell_angle_gamma 120.00
_space_group_name_H-M_alt 'P 1'
_space_group_IT_number 1
_space_group_name_Hall 'P 1'
loop_
_atom_site_label
_atom_site_type_symbol
_atom_site_fract_x
_atom_site_fract_y
_atom_site_fract_z
K1 K 0.000 0.000 0.000
Cu1 Cu 0.333 0.667 0.644
Mo1 Mo 0.667 0.333 0.384
# Energy relative to the elements, eV per atom: 1.0401
# E_tot, eV per cell: -12.9
# Energy above the lowest structure with this stoichiometry, eV/atom: 0.2666
# Mass density, Mg/m³: 5.7


# KCuMo | the Alexandria database | PBE | optimized geometry
data_KCuMo
_chemical_formula_sum 'K4 Cu4 Mo4'
_cell_length_a 8.942
_cell_length_b 3.231
_cell_length_c 10.628
_cell_angle_alpha 90.00
_cell_angle_beta 90.00
_cell_angle_gamma 90.00
_space_group_name_H-M_alt 'P 1'
_space_group_IT_number 1
_space_group_name_Hall 'P 1'
loop_
_atom_site_label
_atom_site_type_symbol
_atom_site_fract_x
_atom_site_fract_y
_atom_site_fract_z
K1 K 0.068 0.250 0.167
K2 K 0.432 0.750 0.667
K3 K 0.568 0.250 0.333
K4 K 0.932 0.750 0.833
Cu1 Cu 0.235 0.750 0.396
Cu2 Cu 0.265 0.250 0.896
Cu3 Cu 0.735 0.750 0.104
Cu4 Cu 0.765 0.250 0.604
Mo1 Mo 0.083 0.250 0.539
Mo2 Mo 0.417 0.750 0.039
Mo3 Mo 0.583 0.250 0.961
Mo4 Mo 0.917 0.750 0.461
# Energy relative to the elements, eV per atom: 0.7875
# E_tot, eV per cell: -54.6
# Energy above the lowest structure with this stoichiometry, eV/atom: 0.0140
# Mass density, Mg/m³: 4.3


- Look up the mass density of the eleventh one.
  5.7 Mg/m³


- What is the formula in the fourth record?
  KMnCuTe2


- E_tot of number 1 (KMnCu3Se4)?
  -39.7 eV per cell


What did the eighth record say?
# KCuMo | the Alexandria database | PBE | optimized geometry
data_KCuMo
_chemical_formula_sum 'K1 Cu1 Mo1'
_cell_length_a 5.192
_cell_length_b 5.192
_cell_length_c 5.192
_cell_angle_alpha 60.00
_cell_angle_beta 60.00
_cell_angle_gamma 60.00
_space_group_name_H-M_alt 'P 1'
_space_group_IT_number 1
_space_group_name_Hall 'P 1'
loop_
_atom_site_label
_atom_site_type_symbol
_atom_site_fract_x
_atom_site_fract_y
_atom_site_fract_z
K1 K 0.000 0.000 0.000
Cu1 Cu 0.750 0.750 0.750
Mo1 Mo 0.250 0.250 0.250
# Energy relative to the elements, eV per atom: 2.2183
# E_tot, eV per cell: -9.4
# Energy above the lowest structure with this stoichiometry, eV/atom: 1.4448
# Mass density, Mg/m³: 3.3